# PBE MgFeNi2, optimized geometry
data_MgFeNi2
_chemical_formula_sum 'Mg1 Fe1 Ni2'
_cell_length_a 2.790
_cell_length_b 2.866
_cell_length_c 6.458
_cell_angle_alpha 90.00
_cell_angle_beta 90.00
_cell_angle_gamma 90.00
_space_group_name_H-M_alt 'P m m m'
_space_group_IT_number 47
_space_group_name_Hall '-P 2 2'
loop_
_atom_site_label
_atom_site_fract_x
_atom_site_fract_y
_atom_site_fract_z
_atom_site_occupancy
Mg1 0.000 0.000 0.000 1
Fe1 0.000 0.000 0.500 1
Ni1 0.500 0.500 0.281 1
# - energy of formation from the pure elements (eV per atom) = -0.055
# - energy (eV per atom) = -5.4600
# - D(E_F) (states/eV per cell) = 3.8